(1)
K4Nd3VO8 GGA+U optimized geometry; SG = No. 12; DOS at the Fermi energy = 0.000 states/eV per atom; magnetization = 2.00 μB/f.u.; crystal system = monoclinic; DFT total energy = -6.46 eV per atom; calculated density = 4.71 g cm⁻³
1.0
-4.397 0.500 -5.454
0.679 -7.351 -1.220
-2.098 2.154 6.410
K Nd V O
4 3 1 8
Cartesian
-2.198 0.250 -2.727 K
-3.247 1.327 0.478 K
0.000 0.000 0.000 K
-1.049 1.077 3.205 K
-1.859 -3.426 -3.337 Nd
-2.908 -2.349 -0.132 Nd
-0.709 -2.599 2.595 Nd
0.339 -3.676 -0.610 V
-2.492 -2.801 4.240 O
-1.507 -4.017 0.847 O
-2.111 -0.948 1.615 O
-4.911 -2.526 1.240 O
-0.905 -2.172 -1.504 O
-3.705 -3.750 -1.879 O
-4.309 -0.681 -1.111 O
-3.324 -1.897 -4.504 O

(2)
KNdVO4 GGA+U optimized geometry; SG = No. 11; DOS at the Fermi energy = 0.000 states/eV per atom; magnetization = 1.00 μB/f.u.; crystal system = monoclinic; DFT total energy = -7.13 eV per atom; calculated density = 3.79 g cm⁻³
1.0
-3.359 -4.152 -2.975
1.617 -4.178 4.004
-4.514 3.059 5.015
K Nd V O
2 2 2 8
Cartesian
-5.347 -3.227 5.555 K
-0.910 -2.044 0.489 K
-3.554 -5.122 2.854 Nd
-2.703 -0.149 3.190 Nd
-1.263 -3.264 3.866 V
-4.994 -2.006 2.178 V
-5.462 -3.813 2.512 O
-0.066 -3.339 5.335 O
-0.794 -1.458 3.532 O
-6.191 -1.932 0.709 O
-1.183 -4.479 2.567 O
-5.073 -0.792 3.477 O
-2.896 -3.295 4.494 O
-3.361 -1.976 1.550 O